VCd2TeRh | PBE | relaxed

a = 5.175 Å, b = 5.175 Å, c = 4.916 Å
α = 90.00°, β = 90.00°, γ = 90.00°
Space group P4/mmm (No. 123)
Unique sites:
V (0.000, 0.000, 0.000) (multiplicity 1)
Cd (0.000, 0.500, 0.000) (multiplicity 2)
Te (0.000, 0.000, 0.500) (multiplicity 1)
Rh (0.500, 0.500, 0.500) (multiplicity 1)

Properties
magnetic moment: 2.0 μB/f.u.
N(E_F): 0.85 states/eV/atom
E_form (uncorrected): 962 meV per atom

ThCdRh | PBE | relaxed

a = 8.122 Å, b = 8.122 Å, c = 4.308 Å
α = 90.00°, β = 90.00°, γ = 90.00°
Space group P4_2/m (No. 84)
Unique sites:
Th (0.072, 0.720, 0.000) (multiplicity 4)
Cd (0.355, 0.381, 0.000) (multiplicity 4)
Rh (0.130, 0.388, 0.500) (multiplicity 4)

Properties
formation energy: -0.46 eV per atom
magnetic moment: 0.0 μB/f.u.
N(E_F): 0.81 states/eV/atom